1.
Density functional theory data (GGA-PBE) for a relaxed Co3W10C4 crystal.

Lattice parameters (Å, degrees): 7.9546 7.9545 8.0474 90.00 90.00 120.00
Positions (direct):
1 Co 0.5318 0.0636 0.7500
2 W 0.7896 0.2104 0.0621
3 W 0.5791 0.7896 0.9379
4 Co 0.4682 0.5318 0.2500
5 C 0.0000 0.5000 0.5000
6 W 0.7896 0.5791 0.0621
7 C 0.6667 0.3334 0.7500
8 C 0.5000 0.5000 0.0000
9 W 0.1180 0.2361 0.2500
10 W 0.4209 0.2104 0.0621
11 W 0.2105 0.7896 0.9379
12 Co 0.4682 0.9364 0.2500
13 W 0.0000 0.0000 0.0000
14 Co 0.5318 0.4682 0.7500
15 W 0.8820 0.7639 0.7500
16 C 0.3333 0.6666 0.2500
17 C 0.5000 0.0000 0.0000
18 W 0.5791 0.7896 0.5621
19 W 0.8820 0.1180 0.7500
20 W 0.2104 0.4209 0.9379
21 W 0.2360 0.1180 0.7500
22 W 0.2104 0.4209 0.5621
23 W 0.7896 0.5791 0.4379
24 W 0.1180 0.8820 0.2500
25 W 0.7896 0.2104 0.4379
26 C 0.5000 0.0000 0.5000
27 C 0.0000 0.5000 0.0000
28 Co 0.0636 0.5318 0.2500
29 W 0.7640 0.8820 0.2500
30 W 0.0000 0.0000 0.5000
31 C 0.5000 0.5000 0.5000
32 W 0.2105 0.7896 0.5621
33 W 0.4209 0.2104 0.4379
34 Co 0.9364 0.4682 0.7500

Calculated values
Uncorrected energy, eV/cell: -366.4
V, Å³ per cell: 440.98

=====

2.
Density functional theory data (GGA-PBE) for a relaxed Co6W6C crystal.

Lattice parameters (Å, degrees): 7.7018 7.7018 7.7018 120.00 90.00 120.00
Positions (direct):
1 C 0.1250 0.2500 0.8750
2 Co 0.5000 0.0000 0.5000
3 Co 0.0000 0.5000 0.5000
4 W 0.3247 0.2500 0.0747
5 W 0.0747 0.1495 0.3247
6 Co 0.3761 0.0841 0.2920
7 Co 0.5000 0.5000 0.5000
8 Co 0.6239 0.9159 0.7080
9 Co 0.2920 0.5841 0.7080
10 W 0.6753 0.7500 0.3247
11 Co 0.7080 0.4159 0.6239
12 W 0.9253 0.2500 0.0747
13 W 0.6753 0.7500 0.9253
14 Co 0.2920 0.5841 0.3761
15 C 0.8750 0.7500 0.1250
16 Co 0.5000 0.0000 0.0000
17 W 0.9253 0.8505 0.6753
18 W 0.3247 0.2500 0.6753
19 W 0.3247 0.6495 0.0747
20 W 0.6753 0.3505 0.9253
21 Co 0.7080 0.0841 0.2920
22 W 0.9253 0.2500 0.6753
23 Co 0.2920 0.9159 0.7080
24 Co 0.7080 0.4159 0.2920
25 W 0.0747 0.7500 0.9253
26 W 0.0747 0.7500 0.3247

Calculated values
Uncorrected energy, eV/cell: -260.9
V, Å³ per cell: 323.04